[1]
Density functional theory data (PBE) for Ho3CoSi2 after structural relaxation.

Cell: 11.3208 4.0782 11.0554 Å, 90.00 90.00 90.00°
Closest atoms and distances in Å follow each position.
Space group Pnma (No. 62)
Asymmetric unit:
Ho (0.0573, 0.2500, 0.1261)  1 Co 2.76, 4 Si 2.95-2.97
Ho (0.1183, 0.7500, 0.5575)  5 Si 2.88-3.00, 3 Co 2.95-2.96
Ho (0.2187, 0.2500, 0.7986)  2 Co 2.76, 4 Si 2.92-3.03
Co (0.1305, 0.2500, 0.3644)  3 Si 2.41-2.43
Si (0.0242, 0.7500, 0.3158)  2 Co 2.43
Si (0.1976, 0.7500, 0.9930)  1 Co 2.41

## Properties
- Total energy: -5.97 eV/atom
- Energy relative to the elements, uncorrected: -687 meV per atom

***

[2]
Density functional theory data (PBE) for Sr3Tl2Hg2 after structural relaxation.

Cell: 4.6048 24.9593 4.0368 Å, 90.00 90.00 90.00°
Closest atoms and distances in Å follow each position.
Space group Cmmm (No. 65)
Asymmetric unit:
Sr (0.0000, 0.0000, 0.0000)  8 Tl 3.64, 4 Sr 3.98-4.04
Sr (0.0000, 0.1596, 0.0000)  6 Hg 3.35-3.73, 4 Tl 3.67
Tl (0.0000, 0.4211, 0.5000)  1 Hg 3.38, 8 Sr 3.64-3.67
Hg (0.0000, 0.2855, 0.5000)  2 Hg 2.91

## Properties
- Total energy: -1.91 eV/atom
- ΔH_f (0 K): -2.98 eV per formula unit

***

[3]
Density functional theory data (PBE) for Sm2SiAu after structural relaxation.

Cell: 4.3207 4.3207 20.4778 Å, 90.00 90.00 120.00°
Closest atoms and distances in Å follow each position.
Space group R-3m (No. 166, hexagonal axes)
Asymmetric unit:
Sm (0.0000, 0.0000, 0.2432)  3 Si 2.95, 3 Au 3.10
Si (0.0000, 0.0000, 0.5000)  6 Sm 2.95
Au (0.0000, 0.0000, 0.0000)  6 Sm 3.10

## Properties
- Total energy: -5.13 eV/atom
- Energy relative to the elements, uncorrected: -599 meV per atom

***

[4]
Density functional theory data (PBE) for CaZr2ZnTe after structural relaxation.

Cell: 5.0500 5.0500 5.3916 Å, 90.00 90.00 90.00°
Closest atoms and distances in Å follow each position.
Space group P4/mmm (No. 123)
Asymmetric unit:
Ca (0.0000, 0.0000, 0.0000)  2 Zn 2.70
Zr (0.0000, 0.5000, 0.5000)  2 Zn 2.53
Zn (0.0000, 0.0000, 0.5000)  4 Zr 2.53, 2 Ca 2.70
Te (0.5000, 0.5000, 0.0000)  4 Ca 3.57, 8 Zr 3.69

## Properties
- Total energy: -4.50 eV/atom
- Energy relative to the elements, uncorrected: 200 meV per atom

***

- Which of these has the lowest total energy?
  Ho3CoSi2

***

- The lowest total energy belongs to which entry?
  Ho3CoSi2

***

- Look up the total energy of the fourth one.
  -4.50 eV/atom

***

- total energy of number 2 (Sr3Tl2Hg2)?
  -1.91 eV/atom